No. 1
A plane-wave DFT calculation with PBE was carried out for crystalline Os2RuAu at its relaxed geometry.

a = 2.7543 Å, b = 4.6838 Å, c = 9.6383 Å
α = 90.00°, β = 90.00°, γ = 90.00°
Last column: nearest neighbours and their distance in Å.
Space group Cmmm (No. 65)
Unique sites:
Os 0.0000 0.0000 0.2345 x4  2 Ru 2.65, 6 Os 2.72-2.75, 2 Au 2.91
Ru 0.0000 0.5000 0.0000 x2  4 Os 2.65, 6 Ru 2.72-2.75
Au 0.0000 0.5000 0.5000 x2  6 Au 2.72-2.75, 4 Os 2.91

Output
- Fermi-level density of states: 9.51 states/eV/cell
- ΔE to the lowest computed polymorph: 0.375 eV/atom

***

No. 2
A plane-wave DFT calculation with PBE was carried out for crystalline YRh2Pb at its relaxed geometry.

a = 3.1005 Å, b = 5.2279 Å, c = 10.6780 Å
α = 90.00°, β = 90.00°, γ = 90.00°
Last column: nearest neighbours and their distance in Å.
Space group Immm (No. 71)
Unique sites:
Y 0.0000 0.0000 0.0000 x2  2 Rh 2.62
Rh 0.0000 0.0000 0.2449 x4  1 Y 2.62, 1 Pb 2.72
Pb 0.0000 0.0000 0.5000 x2  2 Rh 2.72, 4 Y 3.04

Output
- Electronic total energy: -5.863 eV per atom
- Fermi-level density of states: 8.11 states/eV/cell

***

Among the records above, which one has the highest Fermi-level density of states? Os2RuAu

***

Copy entry 2 word for word.
A plane-wave DFT calculation with PBE was carried out for crystalline YRh2Pb at its relaxed geometry.

a = 3.1005 Å, b = 5.2279 Å, c = 10.6780 Å
α = 90.00°, β = 90.00°, γ = 90.00°
Last column: nearest neighbours and their distance in Å.
Space group Immm (No. 71)
Unique sites:
Y 0.0000 0.0000 0.0000 x2  2 Rh 2.62
Rh 0.0000 0.0000 0.2449 x4  1 Y 2.62, 1 Pb 2.72
Pb 0.0000 0.0000 0.5000 x2  2 Rh 2.72, 4 Y 3.04

Output
- Electronic total energy: -5.863 eV per atom
- Fermi-level density of states: 8.11 states/eV/cell